1.
CsTm3F10 | PBE-GGA | optimized geometry

extended XYZ file:
```
14
Lattice="6.692 -3.865 0.000 6.692 3.865 0.000 -0.004 0.000 4.155" Properties=species:S:1:pos:R:3 pbc="T T T"
Cs 6.756 0.000 1.864
F 9.506 0.000 0.220
F 5.375 -2.383 0.236
F 5.375 2.383 0.236
F 2.294 0.000 0.965
F 10.195 -1.734 2.202
F 10.195 1.734 2.202
F 13.223 0.000 2.211
F 4.437 0.000 3.759
F 7.898 -1.999 3.779
F 7.898 1.999 3.779
Tm 3.339 -1.818 0.123
Tm 3.339 1.818 0.123
Tm 0.191 0.000 0.133
```

Calculated values
SG   No. 8
Total energy   -0.2324 hartree per atom

---

2.
PdO3 | PBE-GGA | optimized geometry

extended XYZ file:
```
16
Lattice="-0.940 -0.134 -5.426 3.721 -3.091 2.341 -8.867 -0.692 5.115" Properties=species:S:1:pos:R:3 pbc="T T T"
O 1.187 -2.153 1.947
O -1.525 -0.542 -2.835
O -0.239 -1.513 -0.586
O 0.108 -3.071 2.159
O -2.699 -1.277 -2.435
O -1.434 -2.055 -0.101
O -3.314 -2.546 4.900
O -6.339 -0.691 -0.255
O -4.835 -1.806 2.156
O -4.173 -3.559 4.923
O -7.283 -1.610 -0.093
O -5.911 -2.585 2.405
Pd 0.632 -3.385 -1.817
Pd -1.526 -3.043 3.747
Pd -4.772 -0.985 -1.623
Pd -5.792 -3.320 6.151
```

Calculated values
SG   No. 1
Total energy   -0.1802 hartree per atom